Below is crystalline BaErMn2O8 at its relaxed geometry, with properties calculated at the PBE+U level.

Calculated values
The value obtained for the total energy is -6.875 eV/atom. As for the space-group type: P-3, No. 147.

a b c (Å): 5.6420 5.6420 7.6618
angles (deg): 90.00 90.00 120.00
With the nearest neighbours (Å) after each atom.
Atoms (fractional coordinates):
1 Ba 0.0000 0.0000 0.0000  6 O 2.86
2 Er 0.0000 0.0000 0.5000  6 O 2.22
3 Mn 0.3333 0.6667 0.7644  4 O 1.66-1.70
4 Mn 0.6667 0.3333 0.2356  4 O 1.66-1.70
5 O 0.1662 0.8293 0.6940  1 Mn 1.70
6 O 0.1707 0.3369 0.6940  1 Mn 1.70
7 O 0.3333 0.6667 0.9806  1 Mn 1.66
8 O 0.3369 0.1662 0.3060  1 Mn 1.70
9 O 0.6631 0.8338 0.6940  1 Mn 1.70
10 O 0.6667 0.3333 0.0194  1 Mn 1.66
11 O 0.8293 0.6631 0.3060  1 Mn 1.70
12 O 0.8338 0.1707 0.3060  1 Mn 1.70